# 1
A plane-wave DFT calculation with PBE was carried out for CsBiN3 after structural relaxation.

```
data_CsBiN3
_symmetry_space_group_name_H-M 'P 1'
_symmetry_Int_Tables_number 1
_symmetry_space_group_name_Hall 'P 1'
_cell_length_a 4.506
_cell_length_b 4.506
_cell_length_c 4.506
_cell_angle_alpha 90.00
_cell_angle_beta 90.00
_cell_angle_gamma 90.00
loop_
_atom_site_label
_atom_site_type_symbol
_atom_site_fract_x
_atom_site_fract_y
_atom_site_fract_z
Bi1 Bi 0.000 0.000 0.000
N1 N 0.000 0.500 0.000
N2 N 0.000 0.000 0.500
Cs1 Cs 0.500 0.500 0.500
N3 N 0.500 0.000 0.000
```

Results
space-group type: Pm-3m
energy relative to the elements, uncorrected: 1613 meV/atom

# 2
A plane-wave DFT calculation with PBE was carried out for ZrAl3Ga2 after structural relaxation.

```
data_ZrAl3Ga2
_symmetry_space_group_name_H-M 'P 1'
_symmetry_Int_Tables_number 1
_symmetry_space_group_name_Hall 'P 1'
_cell_length_a 5.467
_cell_length_b 5.467
_cell_length_c 7.864
_cell_angle_alpha 90.22
_cell_angle_beta 90.22
_cell_angle_gamma 117.76
loop_
_atom_site_label
_atom_site_type_symbol
_atom_site_fract_x
_atom_site_fract_y
_atom_site_fract_z
Ga1 Ga 0.619 0.868 0.418
Al1 Al 0.383 0.617 0.750
Zr1 Zr 0.131 0.869 0.250
Ga2 Ga 0.132 0.381 0.082
Al2 Al 0.377 0.124 0.916
Ga3 Ga 0.868 0.619 0.918
Al3 Al 0.876 0.623 0.584
Ga4 Ga 0.381 0.132 0.582
Al4 Al 0.617 0.383 0.250
Al5 Al 0.124 0.377 0.416
Al6 Al 0.623 0.876 0.084
Zr2 Zr 0.869 0.131 0.750
```

Results
space-group type: C2/c
formation enthalpy at 0 K: -272 meV/atom

# 3
A plane-wave DFT calculation with PBE was carried out for BeAu2C after structural relaxation.

```
data_BeAu2C
_symmetry_space_group_name_H-M 'P 1'
_symmetry_Int_Tables_number 1
_symmetry_space_group_name_Hall 'P 1'
_cell_length_a 4.653
_cell_length_b 4.653
_cell_length_c 6.784
_cell_angle_alpha 69.94
_cell_angle_beta 69.94
_cell_angle_gamma 90.00
loop_
_atom_site_label
_atom_site_type_symbol
_atom_site_fract_x
_atom_site_fract_y
_atom_site_fract_z
Be1 Be 0.250 0.750 0.500
C1 C 0.000 0.000 0.000
Au1 Au 0.875 0.922 0.750
Au2 Au 0.672 0.125 0.250
Au3 Au 0.375 0.328 0.750
C2 C 0.750 0.250 0.500
Au4 Au 0.078 0.625 0.250
Be2 Be 0.500 0.500 0.000
```

Results
space-group type: I-42d
formation enthalpy at 0 K: 1006 meV/atom

# 4
A plane-wave DFT calculation with PBE was carried out for Li3LaP2 after structural relaxation.

```
data_Li3LaP2
_symmetry_space_group_name_H-M 'P 1'
_symmetry_Int_Tables_number 1
_symmetry_space_group_name_Hall 'P 1'
_cell_length_a 4.085
_cell_length_b 8.354
_cell_length_c 7.945
_cell_angle_alpha 55.97
_cell_angle_beta 75.10
_cell_angle_gamma 75.85
loop_
_atom_site_label
_atom_site_type_symbol
_atom_site_fract_x
_atom_site_fract_y
_atom_site_fract_z
P1 P 0.788 0.728 0.696
La1 La 0.869 0.043 0.220
Li1 Li 0.062 0.590 0.286
Li2 Li 0.938 0.410 0.714
Li3 Li 0.602 0.339 0.457
P2 P 0.523 0.773 0.181
La2 La 0.131 0.957 0.780
Li4 Li 0.693 0.530 0.085
Li5 Li 0.307 0.470 0.915
P3 P 0.212 0.272 0.304
Li6 Li 0.398 0.661 0.543
P4 P 0.477 0.227 0.819
```

Results
space-group type: C2/m
formation enthalpy at 0 K: -909 meV/atom

# 5
A plane-wave DFT calculation with PBE was carried out for KCr2Co after structural relaxation.

```
data_KCr2Co
_symmetry_space_group_name_H-M 'P 1'
_symmetry_Int_Tables_number 1
_symmetry_space_group_name_Hall 'P 1'
_cell_length_a 3.793
_cell_length_b 2.687
_cell_length_c 7.404
_cell_angle_alpha 93.50
_cell_angle_beta 90.00
_cell_angle_gamma 90.00
loop_
_atom_site_label
_atom_site_type_symbol
_atom_site_fract_x
_atom_site_fract_y
_atom_site_fract_z
Cr1 Cr 0.000 0.209 0.879
K1 K 0.500 0.250 0.250
Co1 Co 0.500 0.750 0.750
Cr2 Cr 0.000 0.291 0.621
```

Results
space-group type: P2/m
formation enthalpy at 0 K: 860 meV/atom

# 6
A plane-wave DFT calculation with PBE was carried out for LiCd6Pt5 after structural relaxation.

```
data_LiCd6Pt5
_symmetry_space_group_name_H-M 'P 1'
_symmetry_Int_Tables_number 1
_symmetry_space_group_name_Hall 'P 1'
_cell_length_a 4.284
_cell_length_b 7.644
_cell_length_c 6.785
_cell_angle_alpha 90.00
_cell_angle_beta 71.59
_cell_angle_gamma 90.00
loop_
_atom_site_label
_atom_site_type_symbol
_atom_site_fract_x
_atom_site_fract_y
_atom_site_fract_z
Cd1 Cd 0.167 0.250 0.666
Cd2 Cd 0.167 0.750 0.666
Cd3 Cd 0.500 0.751 0.000
Pt1 Pt 0.335 0.000 0.329
Pt2 Pt 0.665 0.000 0.671
Pt3 Pt 0.000 0.500 0.000
Pt4 Pt 0.666 0.500 0.668
Li1 Li 0.000 0.000 0.000
Pt5 Pt 0.334 0.500 0.332
Cd4 Cd 0.833 0.250 0.334
Cd5 Cd 0.500 0.249 0.000
Cd6 Cd 0.833 0.750 0.334
```

Results
space-group type: Cmmm
formation enthalpy at 0 K: -341 meV/atom

# 7
A plane-wave DFT calculation with PBE was carried out for CaReAs after structural relaxation.

```
data_CaReAs
_symmetry_space_group_name_H-M 'P 1'
_symmetry_Int_Tables_number 1
_symmetry_space_group_name_Hall 'P 1'
_cell_length_a 4.688
_cell_length_b 4.688
_cell_length_c 4.688
_cell_angle_alpha 60.00
_cell_angle_beta 60.00
_cell_angle_gamma 60.00
loop_
_atom_site_label
_atom_site_type_symbol
_atom_site_fract_x
_atom_site_fract_y
_atom_site_fract_z
Re1 Re 0.000 0.000 0.000
As1 As 0.500 0.500 0.500
Ca1 Ca 0.750 0.750 0.750
```

Results
space-group type: F-43m
formation enthalpy at 0 K: 1436 meV/atom

# 8
A plane-wave DFT calculation with PBE was carried out for La2MgSnRu after structural relaxation.

```
data_La2MgSnRu
_symmetry_space_group_name_H-M 'P 1'
_symmetry_Int_Tables_number 1
_symmetry_space_group_name_Hall 'P 1'
_cell_length_a 5.322
_cell_length_b 5.322
_cell_length_c 5.122
_cell_angle_alpha 90.00
_cell_angle_beta 90.00
_cell_angle_gamma 90.00
loop_
_atom_site_label
_atom_site_type_symbol
_atom_site_fract_x
_atom_site_fract_y
_atom_site_fract_z
La1 La 0.000 0.500 0.000
La2 La 0.500 0.000 0.000
Ru1 Ru 0.000 0.000 0.000
Sn1 Sn 0.500 0.500 0.500
Mg1 Mg 0.000 0.000 0.500
```

Results
space-group type: P4/mmm
formation enthalpy at 0 K: -353 meV/atom

# 9
A plane-wave DFT calculation with PBE was carried out for Nd4NiPt3 after structural relaxation.

```
data_Nd4NiPt3
_symmetry_space_group_name_H-M 'P 1'
_symmetry_Int_Tables_number 1
_symmetry_space_group_name_Hall 'P 1'
_cell_length_a 3.928
_cell_length_b 4.514
_cell_length_c 10.815
_cell_angle_alpha 90.00
_cell_angle_beta 90.00
_cell_angle_gamma 90.00
loop_
_atom_site_label
_atom_site_type_symbol
_atom_site_fract_x
_atom_site_fract_y
_atom_site_fract_z
Pt1 Pt 0.500 0.000 0.923
Pt2 Pt 0.000 0.000 0.412
Nd1 Nd 0.000 0.500 0.865
Pt3 Pt 0.000 0.500 0.588
Nd2 Nd 0.500 0.000 0.639
Nd3 Nd 0.000 0.000 0.137
Ni1 Ni 0.500 0.500 0.078
Nd4 Nd 0.500 0.500 0.359
```

Results
space-group type: Pmm2
formation enthalpy at 0 K: -942 meV/atom

# 10
A plane-wave DFT calculation with PBE was carried out for YInSb2 after structural relaxation.

```
data_YInSb2
_symmetry_space_group_name_H-M 'P 1'
_symmetry_Int_Tables_number 1
_symmetry_space_group_name_Hall 'P 1'
_cell_length_a 4.098
_cell_length_b 4.098
_cell_length_c 6.516
_cell_angle_alpha 90.00
_cell_angle_beta 90.00
_cell_angle_gamma 90.00
loop_
_atom_site_label
_atom_site_type_symbol
_atom_site_fract_x
_atom_site_fract_y
_atom_site_fract_z
Sb1 Sb 0.000 0.000 0.017
Y1 Y 0.500 0.500 0.250
In1 In 0.500 0.500 0.750
Sb2 Sb 0.000 0.000 0.483
```

Results
space-group type: P4/mmm
energy relative to the elements, uncorrected: -508 meV/atom

# 11
A plane-wave DFT calculation with PBE was carried out for AcCeGdCd after structural relaxation.

```
data_AcCeGdCd
_symmetry_space_group_name_H-M 'P 1'
_symmetry_Int_Tables_number 1
_symmetry_space_group_name_Hall 'P 1'
_cell_length_a 5.645
_cell_length_b 5.645
_cell_length_c 5.645
_cell_angle_alpha 60.00
_cell_angle_beta 60.00
_cell_angle_gamma 60.00
loop_
_atom_site_label
_atom_site_type_symbol
_atom_site_fract_x
_atom_site_fract_y
_atom_site_fract_z
Gd1 Gd 0.000 0.000 0.000
Cd1 Cd 0.250 0.250 0.250
Ce1 Ce 0.500 0.500 0.500
Ac1 Ac 0.750 0.750 0.750
```

Results
space-group type: F-43m
formation enthalpy at 0 K: 90 meV/atom

no.,total moment (μB/f.u.)
1,3.32
2,0.00
3,0.00
4,0.00
5,1.50
6,0.00
7,2.58
8,0.00
9,0.00
10,0.00
11,9.69